Record 1
# GGA-PBE TiAgO3, optimized geometry
data_TiAgO3
_chemical_formula_sum 'Ti4 Ag4 O12'
_symmetry_space_group_name_H-M 'P 1'
_symmetry_Int_Tables_number 1
_cell_length_a 7.185
_cell_length_b 7.185
_cell_length_c 7.185
_cell_angle_alpha 60.00
_cell_angle_beta 60.00
_cell_angle_gamma 60.00
loop_
_symmetry_equiv_pos_as_xyz
'x,y,z'
loop_
_atom_site_label
_atom_site_type_symbol
_atom_site_fract_x
_atom_site_fract_y
_atom_site_fract_z
O1 O 0.549 0.951 0.549
O2 O 0.549 0.951 0.951
O3 O 0.701 0.299 0.299
O4 O 0.299 0.701 0.299
O5 O 0.299 0.701 0.701
O6 O 0.701 0.299 0.701
O7 O 0.951 0.549 0.549
O8 O 0.701 0.701 0.299
O9 O 0.951 0.951 0.549
O10 O 0.951 0.549 0.951
O11 O 0.299 0.299 0.701
O12 O 0.549 0.549 0.951
Ag1 Ag 0.625 0.125 0.125
Ag2 Ag 0.125 0.125 0.125
Ag3 Ag 0.125 0.625 0.125
Ag4 Ag 0.125 0.125 0.625
Ti1 Ti 0.125 0.625 0.625
Ti2 Ti 0.625 0.625 0.125
Ti3 Ti 0.625 0.125 0.625
Ti4 Ti 0.625 0.625 0.625
# Magnetic moment, μB per cell: 4.06
# Uncorrected formation energy, meV/atom: -1598

Record 2
# GGA-PBE TiAgO, optimized geometry
data_TiAgO
_chemical_formula_sum 'Ti4 Ag4 O4'
_symmetry_space_group_name_H-M 'P 1'
_symmetry_Int_Tables_number 1
_cell_length_a 12.753
_cell_length_b 5.209
_cell_length_c 2.774
_cell_angle_alpha 90.00
_cell_angle_beta 90.00
_cell_angle_gamma 90.00
loop_
_symmetry_equiv_pos_as_xyz
'x,y,z'
loop_
_atom_site_label
_atom_site_type_symbol
_atom_site_fract_x
_atom_site_fract_y
_atom_site_fract_z
O1 O 0.250 0.750 0.000
O2 O 0.750 0.250 0.000
O3 O 0.250 0.250 0.000
O4 O 0.750 0.750 0.000
Ag1 Ag 0.000 0.000 0.000
Ag2 Ag 0.000 0.500 0.500
Ag3 Ag 0.500 0.500 0.000
Ag4 Ag 0.500 0.000 0.500
Ti1 Ti 0.698 0.500 0.500
Ti2 Ti 0.198 0.000 0.500
Ti3 Ti 0.302 0.500 0.500
Ti4 Ti 0.802 0.000 0.500
# Energy above the most stable polymorph in this dataset, meV per atom: 2
# Magnetic moment, μB per cell: 0.00
# Uncorrected formation energy, meV/atom: -1431

Record 3
# GGA-PBE Ti3AgO, optimized geometry
data_Ti3AgO
_chemical_formula_sum 'Ti3 Ag1 O1'
_symmetry_space_group_name_H-M 'P 1'
_symmetry_Int_Tables_number 1
_cell_length_a 4.152
_cell_length_b 4.152
_cell_length_c 4.152
_cell_angle_alpha 90.00
_cell_angle_beta 90.00
_cell_angle_gamma 90.00
loop_
_symmetry_equiv_pos_as_xyz
'x,y,z'
loop_
_atom_site_label
_atom_site_type_symbol
_atom_site_fract_x
_atom_site_fract_y
_atom_site_fract_z
Ti1 Ti 0.000 0.500 0.000
Ti2 Ti 0.500 0.000 0.000
Ti3 Ti 0.000 0.000 0.500
Ag1 Ag 0.500 0.500 0.500
O1 O 0.000 0.000 0.000
# Magnetic moment, μB per cell: 0.86
# Uncorrected formation energy, meV/atom: -1057

Record 4
# GGA-PBE Ti3AgO, optimized geometry
data_Ti3AgO
_chemical_formula_sum 'Ti3 Ag1 O1'
_symmetry_space_group_name_H-M 'P 1'
_symmetry_Int_Tables_number 1
_cell_length_a 4.875
_cell_length_b 4.875
_cell_length_c 4.875
_cell_angle_alpha 90.00
_cell_angle_beta 90.00
_cell_angle_gamma 90.00
loop_
_symmetry_equiv_pos_as_xyz
'x,y,z'
loop_
_atom_site_label
_atom_site_type_symbol
_atom_site_fract_x
_atom_site_fract_y
_atom_site_fract_z
Ti1 Ti 0.000 0.500 0.000
Ti2 Ti 0.000 0.000 0.500
Ti3 Ti 0.500 0.000 0.000
O1 O 0.500 0.500 0.500
Ag1 Ag 0.000 0.000 0.000
# Magnetic moment, μB per cell: 3.36
# Uncorrected formation energy, meV/atom: 1336

Record 5
# GGA-PBE TiAgO, optimized geometry
data_TiAgO
_chemical_formula_sum 'Ti1 Ag1 O1'
_symmetry_space_group_name_H-M 'P 1'
_symmetry_Int_Tables_number 1
_cell_length_a 3.058
_cell_length_b 3.058
_cell_length_c 5.693
_cell_angle_alpha 90.00
_cell_angle_beta 90.00
_cell_angle_gamma 120.00
loop_
_symmetry_equiv_pos_as_xyz
'x,y,z'
loop_
_atom_site_label
_atom_site_type_symbol
_atom_site_fract_x
_atom_site_fract_y
_atom_site_fract_z
Ti1 Ti 0.667 0.333 0.331
O1 O 0.000 0.000 0.480
Ag1 Ag 0.000 0.000 0.930
# Energy above the most stable polymorph in this dataset, meV per atom: 93
# Magnetic moment, μB per cell: 0.00
# Uncorrected formation energy, meV/atom: -1340

Record 6
# GGA-PBE TiAgO, optimized geometry
data_TiAgO
_chemical_formula_sum 'Ti4 Ag4 O4'
_symmetry_space_group_name_H-M 'P 1'
_symmetry_Int_Tables_number 1
_cell_length_a 5.010
_cell_length_b 2.953
_cell_length_c 13.200
_cell_angle_alpha 90.00
_cell_angle_beta 96.69
_cell_angle_gamma 90.00
loop_
_symmetry_equiv_pos_as_xyz
'x,y,z'
loop_
_atom_site_label
_atom_site_type_symbol
_atom_site_fract_x
_atom_site_fract_y
_atom_site_fract_z
Ti1 Ti 0.783 0.500 0.427
Ti2 Ti 0.217 0.500 0.573
Ti3 Ti 0.783 0.000 0.927
Ti4 Ti 0.217 0.000 0.073
O1 O 0.000 0.500 0.000
O2 O 0.500 0.500 0.500
O3 O 0.500 0.000 0.000
O4 O 0.000 0.000 0.500
Ag1 Ag 0.746 0.000 0.242
Ag2 Ag 0.746 0.500 0.742
Ag3 Ag 0.254 0.000 0.758
Ag4 Ag 0.254 0.500 0.258
# Energy above the most stable polymorph in this dataset, meV per atom: 115
# Magnetic moment, μB per cell: 0.00
# Uncorrected formation energy, meV/atom: -1318

Record 7
# GGA-PBE Ti2AgO, optimized geometry
data_Ti2AgO
_chemical_formula_sum 'Ti2 Ag1 O1'
_symmetry_space_group_name_H-M 'P 1'
_symmetry_Int_Tables_number 1
_cell_length_a 3.049
_cell_length_b 3.049
_cell_length_c 7.124
_cell_angle_alpha 77.64
_cell_angle_beta 77.64
_cell_angle_gamma 60.00
loop_
_symmetry_equiv_pos_as_xyz
'x,y,z'
loop_
_atom_site_label
_atom_site_type_symbol
_atom_site_fract_x
_atom_site_fract_y
_atom_site_fract_z
Ti1 Ti 0.278 0.278 0.166
Ti2 Ti 0.722 0.722 0.834
O1 O 0.000 0.000 0.000
Ag1 Ag 0.500 0.500 0.500
# Magnetic moment, μB per cell: 0.00
# Uncorrected formation energy, meV/atom: -1183

Record 8
# GGA-PBE Ti6AgO, optimized geometry
data_Ti6AgO
_chemical_formula_sum 'Ti6 Ag1 O1'
_symmetry_space_group_name_H-M 'P 1'
_symmetry_Int_Tables_number 1
_cell_length_a 4.763
_cell_length_b 5.435
_cell_length_c 5.340
_cell_angle_alpha 81.70
_cell_angle_beta 89.97
_cell_angle_gamma 66.87
loop_
_symmetry_equiv_pos_as_xyz
'x,y,z'
loop_
_atom_site_label
_atom_site_type_symbol
_atom_site_fract_x
_atom_site_fract_y
_atom_site_fract_z
Ti1 Ti 0.191 0.058 0.328
Ti2 Ti 0.809 0.942 0.672
Ti3 Ti 0.941 0.655 0.197
Ti4 Ti 0.420 0.765 0.899
Ti5 Ti 0.059 0.345 0.803
Ti6 Ti 0.580 0.235 0.101
O1 O 0.000 0.000 0.000
Ag1 Ag 0.500 0.500 0.500
# Magnetic moment, μB per cell: 0.00
# Uncorrected formation energy, meV/atom: -610